Density functional theory data (GGA-PBE) for crystalline Ac4GaI2Br at its relaxed geometry.

Magnetic moment   0.0 μB/cell
DOS(E_F)   0.648 states/eV/atom
Total energy   -31.50 eV/cell
Formation energy without anion corrections   -908.5 meV/atom

Lattice parameters (Å, degrees): 7.564 4.586 8.948 90.00 108.04 90.00
Space group P2/m (No. 10)
Asymmetric unit:
Ac1 0.231 0.000 0.208
Ac2 0.253 0.500 0.788
Ga1 0.000 0.500 0.000
I1 0.000 0.000 0.500
I2 0.500 0.500 0.500
Br1 0.500 0.000 0.000